# SrScCu3, optimized geometry, DFT GGA-PBEsol
# Total DFT energy (no corrections) = -3.81 eV/atom
# DFT formation energy = 0.4779 eV/atom
data_SrScCu3
_symmetry_space_group_name_H-M 'P m -3 m'
_symmetry_Int_Tables_number 221
_symmetry_space_group_name_Hall '-P 4 2 3'
_cell_length_a 4.848
_cell_length_b 4.848
_cell_length_c 4.848
_cell_angle_alpha 90.00
_cell_angle_beta 90.00
_cell_angle_gamma 90.00
loop_
_atom_site_label
_atom_site_fract_x
_atom_site_fract_y
_atom_site_fract_z
Sr1 0.000 0.000 0.000
Sc1 0.500 0.500 0.500
Cu1 0.000 0.500 0.500